1.
A plane-wave DFT calculation with PBE-GGA was carried out for Cs3GaC after structural relaxation.

Lattice parameters (Å, degrees): 7.0083 7.0083 7.0083 90.00 90.00 90.00
Last column: nearest neighbours and their distance in Å.
Positions (direct):
Cs1 0.0000 0.0000 0.5000  2 Ga 3.50
Cs2 0.0000 0.5000 0.0000  2 Ga 3.50
Cs3 0.5000 0.0000 0.0000  2 Ga 3.50
Ga1 0.0000 0.0000 0.0000  6 Cs 3.50
C1 0.5000 0.5000 0.5000  12 Cs 4.96

Properties
The magnetic moment is 3.00 μB/f.u. The value obtained for the calculated formation energy is 1.30 eV per atom. As for the symmetry: No. 221. Its raw total energy is -8.29 eV per cell.


2.
A plane-wave DFT calculation with PBE-GGA was carried out for CsGa2C after structural relaxation.

Lattice parameters (Å, degrees): 6.4759 6.4759 6.4759 112.99 112.99 102.65
Last column: nearest neighbours and their distance in Å.
Positions (direct):
Cs1 0.0000 0.0000 0.0000  8 Ga 3.57-3.63
Cs2 0.7500 0.2500 0.5000  8 Ga 3.57-3.63
Ga1 0.2939 0.1250 0.6689  2 C 2.13
Ga2 0.3750 0.7061 0.8311  2 C 2.13
Ga3 0.4561 0.6250 0.3311  2 C 2.13
Ga4 0.8750 0.5439 0.1689  2 C 2.13
C1 0.2500 0.7500 0.5000  4 Ga 2.13
C2 0.5000 0.5000 0.0000  4 Ga 2.13

Properties
The magnetic moment is 0.00 μB/f.u. The value obtained for the calculated formation energy is 0.76 eV per atom. As for the symmetry: No. 122. Its raw total energy is -26.22 eV per cell.


> The lowest magnetic moment belongs to which entry?

CsGa2C